! PmPuCo2O8 | Alexandria via LeMat-Bulk | PBE+U | relaxed; values from VASP
! size of the total moment	0.250	μB/atom
! mass density	6.56	g/cm³
! volume	13.391	A^3/atom
! VASP energy	-7.53	eV/atom
&SYSTEM
  ibrav = 0, nat = 12, ntyp = 4
/
ATOMIC_SPECIES
Pm 145.00 Pm.upf
Pu 244.00 Pu.upf
Co 58.93 Co.upf
O 16.00 O.upf
CELL_PARAMETERS angstrom
-3.4711 3.4711 3.3343
3.4711 -3.4711 3.3343
3.4711 3.4711 -3.3343
ATOMIC_POSITIONS crystal
Pm 0.0000 0.0000 0.0000
Pu 0.2500 0.7500 0.5000
Co 0.5000 0.5000 0.0000
Co 0.7500 0.2500 0.5000
O 0.3039 0.0960 0.7921
O 0.3039 0.5118 0.2079
O 0.3916 0.0624 0.3292
O 0.4882 0.6961 0.7921
O 0.7333 0.0624 0.6708
O 0.9040 0.6961 0.2079
O 0.9376 0.2667 0.3292
O 0.9376 0.6084 0.6708